(1)
Below is a geometry-optimized CeNdEr2 structure, with properties calculated at the GGA-PBE level.

Properties
Offset from the most stable computed form in meV/atom: 0
V in A^3/atom: 31.2
Calculated formation energy in meV/atom: 34
Uncorrected energy in eV per atom: -4.92
Crystal system: trigonal

a = 3.5579 Å, b = 6.1572 Å, c = 11.3927 Å
α = 90.02°, β = 90.00°, γ = 89.96°
Fractional positions:
Er 0.2491 0.9168 0.2439
Er 0.2512 0.5832 0.7559
Er 0.7509 0.0832 0.7561
Er 0.7488 0.4168 0.2441
Nd 0.7502 0.7501 0.4999
Nd 0.2498 0.2499 0.5001
Ce 0.7504 0.7499 0.9999
Ce 0.2496 0.2501 0.0001

=====

(2)
Below is a geometry-optimized KYCl2 structure, with properties calculated at the GGA-PBE level.

Properties
Formation energy (no corrections) in eV/atom: -1.377
Offset from the most stable computed form in meV/atom: 98
V in A^3/atom: 30.1
Uncorrected energy in eV per atom: -4.19
Crystal system: tetragonal

a = 3.9335 Å, b = 3.9349 Å, c = 7.7868 Å
α = 90.00°, β = 90.00°, γ = 90.00°
Fractional positions:
K 0.0000 0.0000 0.4323
Cl 0.5000 0.5000 0.2370
Cl 0.0000 0.0000 0.9416
Y 0.5000 0.5000 0.8891

=====

(3)
Below is a geometry-optimized Fe2SiSe2 structure, with properties calculated at the GGA-PBE level.

Properties
Formation energy (no corrections) in eV/atom: 0.299
Offset from the most stable computed form in meV/atom: 0
V in A^3/atom: 15.8
Uncorrected energy in eV per atom: -5.56
Crystal system: tetragonal

a = 6.8843 Å, b = 6.8843 Å, c = 3.3331 Å
α = 90.00°, β = 90.00°, γ = 90.00°
Fractional positions:
Se 0.8424 0.3424 0.5000
Se 0.1576 0.6576 0.5000
Se 0.3424 0.1576 0.5000
Se 0.6576 0.8424 0.5000
Si 0.5000 0.5000 0.0000
Si 0.0000 0.0000 0.0000
Fe 0.3612 0.8612 0.0000
Fe 0.8612 0.6388 0.0000
Fe 0.1388 0.3612 0.0000
Fe 0.6388 0.1388 0.0000

=====

(4)
Below is a geometry-optimized RbCu2GeOs structure, with properties calculated at the GGA-PBE level.

Properties
V in A^3/atom: 23.1
Calculated formation energy in meV/atom: 549
Uncorrected energy in eV per atom: -4.45
Crystal system: tetragonal

a = 4.9571 Å, b = 4.7089 Å, c = 4.9571 Å
α = 90.00°, β = 90.00°, γ = 90.00°
Fractional positions:
Os 0.0000 0.0000 0.0000
Cu 0.5000 0.0000 0.0000
Cu 0.0000 0.0000 0.5000
Ge 0.0000 0.5000 0.0000
Rb 0.5000 0.5000 0.5000

=====

(5)
Below is a geometry-optimized InIrAu2 structure, with properties calculated at the GGA-PBE level.

Properties
V in A^3/atom: 17.9
Calculated formation energy in meV/atom: 118
Uncorrected energy in eV per atom: -4.42
Crystal system: monoclinic

a = 4.9479 Å, b = 4.9479 Å, c = 4.9999 Å
α = 77.94°, β = 77.94°, γ = 36.80°
Fractional positions:
Ir 0.2485 0.2485 0.2659
Au 0.7499 0.7499 0.7649
Au 0.9959 0.9959 0.9925
In 0.5057 0.5057 0.4767

=====

(6)
Below is a geometry-optimized RbTlSb3 structure, with properties calculated at the GGA-PBE level.

Properties
Formation energy (no corrections) in eV/atom: -0.136
Offset from the most stable computed form in meV/atom: 0
V in A^3/atom: 38.7
Uncorrected energy in eV per atom: -3.28
Crystal system: monoclinic

a = 4.9791 Å, b = 6.6903 Å, c = 12.0713 Å
α = 79.50°, β = 101.90°, γ = 90.00°
Fractional positions:
Tl 0.3652 0.8169 0.7305
Tl 0.6348 0.1831 0.2695
Sb 0.5315 0.6650 0.0630
Sb 0.7569 0.8767 0.5139
Sb 0.4685 0.3350 0.9370
Sb 0.9713 0.8269 0.9426
Sb 0.0287 0.1731 0.0574
Sb 0.2431 0.1233 0.4861
Rb 0.1567 0.6759 0.3133
Rb 0.8433 0.3241 0.6867

=====

(7)
Below is a geometry-optimized BaVP2Cl structure, with properties calculated at the GGA-PBE level.

Properties
Formation energy (no corrections) in eV/atom: 1.281
Offset from the most stable computed form in meV/atom: 2128
V in A^3/atom: 34.7
Uncorrected energy in eV per atom: -3.46
Crystal system: tetragonal

a = 5.5731 Å, b = 5.5731 Å, c = 5.5840 Å
α = 90.00°, β = 90.00°, γ = 90.00°
Fractional positions:
P 0.5000 0.0000 0.0000
P 0.0000 0.5000 0.0000
Cl 0.0000 0.0000 0.5000
V 0.5000 0.5000 0.5000
Ba 0.0000 0.0000 0.0000

=====

(8)
Below is a geometry-optimized BeTe2AsN structure, with properties calculated at the GGA-PBE level.

Properties
Formation energy (no corrections) in eV/atom: 0.469
Offset from the most stable computed form in meV/atom: 0
V in A^3/atom: 18.9
Uncorrected energy in eV per atom: -4.13
Crystal system: tetragonal

a = 5.4825 Å, b = 5.4825 Å, c = 3.1364 Å
α = 90.00°, β = 90.00°, γ = 90.00°
Fractional positions:
N 0.0000 0.0000 0.5000
As 0.5000 0.5000 0.5000
Te 0.5000 0.0000 0.0000
Te 0.0000 0.5000 0.0000
Be 0.0000 0.0000 0.0000

=====

(9)
Below is a geometry-optimized VTc2H structure, with properties calculated at the GGA-PBE level.

Properties
Offset from the most stable computed form in meV/atom: 156
V in A^3/atom: 11.8
Uncorrected energy in eV per atom: -8.00
Crystal system: tetragonal

a = 2.9143 Å, b = 2.9143 Å, c = 5.5426 Å
α = 90.00°, β = 90.00°, γ = 90.00°
Fractional positions:
Tc 0.0000 0.0000 0.7843
Tc 0.0000 0.0000 0.2157
V 0.5000 0.5000 0.5000
H 0.5000 0.5000 0.0000

=====

(10)
Below is a geometry-optimized CaAcSb structure, with properties calculated at the GGA-PBE level.

Properties
Formation energy (no corrections) in eV/atom: -0.720
Offset from the most stable computed form in meV/atom: 0
V in A^3/atom: 36.7
Uncorrected energy in eV per atom: -4.13
Crystal system: orthorhombic

a = 4.4955 Å, b = 8.2306 Å, c = 8.2283 Å
α = 49.24°, β = 74.15°, γ = 74.15°
Fractional positions:
Ac 0.6927 0.3076 0.3070
Ac 0.3073 0.6924 0.6930
Ca 0.0000 0.2328 0.7672
Ca 0.0000 0.7672 0.2328
Sb 0.3639 0.1358 0.1364
Sb 0.6361 0.8642 0.8636

=====

(11)
Below is a geometry-optimized AcHoThHg structure, with properties calculated at the GGA-PBE level.

Properties
V in A^3/atom: 31.0
Calculated formation energy in meV/atom: 121
Uncorrected energy in eV per atom: -3.98
Crystal system: cubic

a = 5.5969 Å, b = 5.5969 Å, c = 5.5969 Å
α = 60.00°, β = 60.00°, γ = 60.00°
Fractional positions:
Ho 0.5000 0.5000 0.5000
Ac 0.7500 0.7500 0.7500
Hg 0.2500 0.2500 0.2500
Th 0.0000 0.0000 0.0000

=====

(12)
Below is a geometry-optimized Na3TmU3Se8 structure, with properties calculated at the GGA-PBE level.

Properties
Formation energy (no corrections) in eV/atom: -1.310
V in A^3/atom: 27.8
Uncorrected energy in eV per atom: -5.99
Crystal system: trigonal

a = 8.2501 Å, b = 8.2494 Å, c = 8.5337 Å
α = 118.92°, β = 90.00°, γ = 120.00°
Fractional positions:
Tm 0.0000 0.0000 0.5000
Se 0.7447 0.4894 0.7340
Se 0.2547 0.0142 0.2737
Se 0.2553 0.5106 0.2660
Se 0.7595 0.0142 0.2737
Se 0.2405 0.9858 0.7263
Se 0.7594 0.5189 0.2737
Se 0.7453 0.9858 0.7263
Se 0.2406 0.4811 0.7263
Na 0.5000 0.5000 0.0000
Na 0.0000 0.5000 0.0000
Na 0.0000 0.0000 0.0000
U 0.5000 0.5000 0.5000
U 0.0000 0.5000 0.5000
U 0.5000 0.0000 0.5000

=====

Magnetization across the listed records, respectively: 0.7; 1.4; 5.4; 0.1; 0.0; 0.0; 0.0; 0.0; 0.0; 0.2; 0.0; 8.0 μB/f.u..